(1)
Material: InTcBr
Method: DFT, PBE
State: relaxed

Computed properties:
Uncorrected formation energy   0.506 eV/atom
ΔE to the lowest computed polymorph   97.8 meV/atom

POSCAR file:
```
InTcBr
1.0
-3.2730 5.4416 -3.0502
-5.5517 3.3268 -2.7813
-1.1615 1.5631 2.4382
Tc Br In
1 1 1
Direct
0.3483 0.3483 0.6517
0.9548 0.9548 0.0452
0.6969 0.6969 0.3031
```



(2)
Material: InTc2Br
Method: DFT, PBE
State: relaxed

Computed properties:
Uncorrected formation energy   0.595 eV/atom
ΔE to the lowest computed polymorph   445.4 meV/atom

POSCAR file:
```
InTc2Br
1.0
-1.6816 -5.4747 2.9809
3.5261 -3.2730 4.3058
-2.8948 5.4766 -1.8202
Tc Br In
2 1 1
Direct
0.0939 0.0939 0.0000
0.2333 0.7333 0.5000
0.4485 0.4485 0.0000
0.7243 0.2243 0.5000
```



(3)
Material: In2TcBr
Method: DFT, PBE
State: relaxed

Computed properties:
Uncorrected formation energy   0.405 eV/atom
ΔE to the lowest computed polymorph   309.7 meV/atom

POSCAR file:
```
In2TcBr
1.0
-5.7040 3.8642 -2.1611
-6.7733 1.0087 -2.2897
-2.6629 0.8328 3.6511
Tc Br In
1 1 2
Direct
0.7500 0.7500 0.7500
0.2500 0.2500 0.2500
0.0664 0.0664 0.9339
0.4336 0.4336 0.5661
```



(4)
Material: In2TcBr
Method: DFT, PBE
State: relaxed

Computed properties:
Uncorrected formation energy   0.334 eV/atom
ΔE to the lowest computed polymorph   239.0 meV/atom

POSCAR file:
```
In2TcBr
1.0
-3.1675 0.5282 3.4554
-2.4798 -0.6672 -2.1712
-0.8410 -5.6500 0.0927
Tc Br In
1 1 2
Direct
0.0000 0.7087 0.4589
0.5000 0.5490 0.7769
0.0000 0.9652 0.9424
0.5000 0.2771 0.3217
```



(5)
Material: In2TcBr
Method: DFT, PBE
State: relaxed

Computed properties:
Uncorrected formation energy   0.710 eV/atom
ΔE to the lowest computed polymorph   615.4 meV/atom

POSCAR file:
```
In2TcBr
1.0
-5.0286 -1.3933 -3.3701
-1.9516 -3.8210 4.4919
-7.0988 2.8929 3.6717
Tc Br In
2 2 4
Direct
0.0000 0.0000 0.0000
0.7500 0.2500 0.5000
0.5000 0.5000 0.0000
0.2500 0.7500 0.5000
0.6904 0.1250 0.2500
0.0596 0.6250 0.2500
0.3750 0.3096 0.7500
0.8750 0.9404 0.7500
```



(6)
Material: InTc2Br
Method: DFT, PBE
State: relaxed

Computed properties:
Uncorrected formation energy   0.373 eV/atom
ΔE to the lowest computed polymorph   223.3 meV/atom

POSCAR file:
```
InTc2Br
1.0
-8.7141 2.6468 -4.9100
-9.9200 0.8733 -2.8073
-9.3815 3.7657 -2.2038
Tc Br In
2 1 1
Direct
0.9883 0.9883 0.9883
0.2558 0.2558 0.2558
0.5234 0.5234 0.5234
0.7325 0.7325 0.7325
```



(7)
Material: InTcBr
Method: DFT, PBE
State: relaxed

Computed properties:
Uncorrected formation energy   0.408 eV/atom
ΔE to the lowest computed polymorph   0.0 meV/atom

POSCAR file:
```
InTcBr
1.0
-2.3540 1.1535 1.9164
-0.4348 -2.7879 -1.6072
2.6481 -3.5041 5.3618
Tc Br In
1 1 1
Direct
0.3333 0.6667 0.6887
0.0000 0.0000 0.9375
0.6667 0.3333 0.3738
```



(8)
Material: InTc2Br
Method: DFT, PBE
State: relaxed

Computed properties:
Uncorrected formation energy   1.006 eV/atom
ΔE to the lowest computed polymorph   856.0 meV/atom

POSCAR file:
```
InTc2Br
1.0
-1.5646 0.9671 4.3148
-0.1457 -3.3758 3.2533
2.9901 0.0938 3.6127
Tc Br In
2 1 1
Direct
0.0000 0.0000 0.0000
0.2500 0.2500 0.2500
0.5000 0.5000 0.5000
0.7500 0.7500 0.7500
```



> Which formula does entry 5 have?

In2TcBr



> The lowest uncorrected formation energy belongs to which entry?

number 4



Copy entry 8 word for word.
Material: InTc2Br
Method: DFT, PBE
State: relaxed

Computed properties:
Uncorrected formation energy   1.006 eV/atom
ΔE to the lowest computed polymorph   856.0 meV/atom

POSCAR file:
```
InTc2Br
1.0
-1.5646 0.9671 4.3148
-0.1457 -3.3758 3.2533
2.9901 0.0938 3.6127
Tc Br In
2 1 1
Direct
0.0000 0.0000 0.0000
0.2500 0.2500 0.2500
0.5000 0.5000 0.5000
0.7500 0.7500 0.7500
```



> ΔE to the lowest computed polymorph of number 6 (InTc2Br)?

223.3 meV/atom